Below is a relaxed GaHSe2N crystal, with properties calculated at the GGA-PBE level.

Geometry as POSCAR:
```
GaHSe2N
1.0
3.7589 0.0000 0.0000
0.0000 3.7589 0.0000
0.0000 0.0000 6.3474
Ga H Se N
1 1 2 1
direct
0.0000 0.0000 0.0000 Ga
0.5000 0.5000 0.5000 H
0.0000 0.5000 0.5000 Se
0.5000 0.0000 0.5000 Se
0.5000 0.5000 0.0000 N
```

Output
Space-group type   No. 123
Energy relative to the lowest polymorph listed for this composition   0 meV/atom